# 1
# SrMg3Sb

Crystalline SrMg3Sb at its relaxed geometry (GGA-PBE, Alexandria). Values from VASP.

Calculated values
For the distance to the lowest polymorph of the same formula, the calculation gives 0 meV per atom.

Geometry as Quantum ESPRESSO input:
```
&SYSTEM
  ibrav = 0, nat = 5, ntyp = 3
/
ATOMIC_SPECIES
Mg 24.30 Mg.upf
Sb 121.76 Sb.upf
Sr 87.62 Sr.upf
CELL_PARAMETERS angstrom
5.600 0.000 0.000
0.000 5.600 0.000
0.000 0.000 5.600
ATOMIC_POSITIONS angstrom
Mg 0.000 2.800 0.000
Mg 2.800 0.000 0.000
Mg 0.000 0.000 2.800
Sb 0.000 0.000 0.000
Sr 2.800 2.800 2.800
```

# 2
# SrMg4Sb

Crystalline SrMg4Sb at its relaxed geometry (GGA-PBE, Alexandria). Values from VASP.

Calculated values
For the energy, the calculation gives -12.562 eV per cell.

Geometry as Quantum ESPRESSO input:
```
&SYSTEM
  ibrav = 0, nat = 6, ntyp = 3
/
ATOMIC_SPECIES
Mg 24.30 Mg.upf
Sb 121.76 Sb.upf
Sr 87.62 Sr.upf
CELL_PARAMETERS angstrom
0.000 4.353 4.353
4.353 0.000 4.353
4.353 4.353 0.000
ATOMIC_POSITIONS angstrom
Mg 5.435 3.271 5.435
Mg 5.435 5.435 3.271
Mg 3.271 3.271 3.271
Mg 3.271 5.435 5.435
Sb 6.529 6.529 6.529
Sr 0.000 0.000 0.000
```

# 3
# Sr2MgSb

Crystalline Sr2MgSb at its relaxed geometry (GGA-PBE, Alexandria). Values from VASP.

Calculated values
For the distance to the lowest polymorph of the same formula, the calculation gives 277 meV per atom.

Geometry as Quantum ESPRESSO input:
```
&SYSTEM
  ibrav = 0, nat = 4, ntyp = 3
/
ATOMIC_SPECIES
Mg 24.30 Mg.upf
Sr 87.62 Sr.upf
Sb 121.76 Sb.upf
CELL_PARAMETERS angstrom
4.037 0.017 0.000
-0.018 4.036 0.000
0.000 0.000 9.132
ATOMIC_POSITIONS angstrom
Mg 0.000 0.000 5.107
Sr 0.000 0.000 8.497
Sr 2.009 2.027 2.841
Sb 2.009 2.027 6.385
```

Looking at DOS(E_F) for the records above, in order, we have 0.754 0.787 1.104 states/eV/atom.
Looking at total magnetization for the records above, in order, we have 0.00 0.00 0.00 Bohr magnetons per cell.